# 1
This record from OQMD via LeMat-Bulk describes an optimized crystal structure of Sm6TlTe5. The functional is PBE.

Calculated values
The value obtained for the electronic total energy is -61.33 eV per cell. The total magnetization comes out at 0.02 μB/cell.

Cell lengths 7.7058, 7.7058, 7.7140 Å; angles 99.56, 99.56, 119.82 degrees
With the nearest neighbours (Å) after each atom.
Fractional positions:
Sm (0.0810, 0.4081, 0.7451)  1 Tl 3.09, 5 Te 3.15-3.19
Sm (0.2440, 0.2440, 0.2534)  1 Tl 3.09, 5 Te 3.15-3.21
Sm (0.4081, 0.0810, 0.7451)  1 Tl 3.09, 5 Te 3.15-3.19
Sm (0.5919, 0.9190, 0.2549)  1 Tl 3.09, 5 Te 3.15-3.19
Sm (0.7560, 0.7560, 0.7466)  1 Tl 3.09, 5 Te 3.15-3.21
Sm (0.9190, 0.5919, 0.2549)  1 Tl 3.09, 5 Te 3.15-3.19
Tl (0.0000, 0.0000, 0.5000)  6 Sm 3.09
Te (0.1694, 0.8306, 0.0000)  6 Sm 3.15-3.19
Te (0.3340, 0.6660, 0.5000)  6 Sm 3.15
Te (0.5000, 0.5000, 0.0000)  6 Sm 3.15-3.21
Te (0.6660, 0.3340, 0.5000)  6 Sm 3.15
Te (0.8306, 0.1694, 0.0000)  6 Sm 3.15-3.19

# 2
This record from OQMD via LeMat-Bulk describes an optimized crystal structure of KLuAu. The functional is PBE.

Calculated values
The value obtained for the electronic total energy is -8.75 eV per cell. The value obtained for the energy above the lowest structure with this stoichiometry is 0 meV per atom. The total magnetization comes out at 0.00 μB/cell.

Cell lengths 5.1362, 5.1362, 5.1362 Å; angles 60.00, 60.00, 60.00 degrees
With the nearest neighbours (Å) after each atom.
Fractional positions:
K (0.0000, 0.0000, 0.0000)  4 Au 3.15
Lu (0.5000, 0.5000, 0.5000)  4 Au 3.15
Au (0.2500, 0.2500, 0.2500)  4 K 3.15, 4 Lu 3.15

# 3
This record from OQMD via LeMat-Bulk describes an optimized crystal structure of LaCuNiSn. The functional is PBE.

Calculated values
The value obtained for the electronic total energy is -19.68 eV per cell. The value obtained for the energy above the lowest structure with this stoichiometry is 0 meV per atom. The total magnetization comes out at 0.02 μB/cell.

Cell lengths 4.7913, 4.7913, 4.7913 Å; angles 60.00, 60.00, 60.00 degrees
With the nearest neighbours (Å) after each atom.
Fractional positions:
La (0.0000, 0.0000, 0.0000)  4 Ni 2.93, 4 Cu 2.93
Cu (0.7500, 0.7500, 0.7500)  4 La 2.93, 4 Sn 2.93
Ni (0.2500, 0.2500, 0.2500)  4 La 2.93, 4 Sn 2.93
Sn (0.5000, 0.5000, 0.5000)  4 Ni 2.93, 4 Cu 2.93

# 4
This record from OQMD via LeMat-Bulk describes an optimized crystal structure of Sb2W. The functional is PBE.

Calculated values
The value obtained for the electronic total energy is -80.28 eV per cell. The value obtained for the energy above the lowest structure with this stoichiometry is 133 meV per atom. The total magnetization comes out at 0.04 μB/cell.

Cell lengths 6.5316, 7.0128, 7.0939 Å; angles 90.00, 117.45, 90.00 degrees
With the nearest neighbours (Å) after each atom.
Fractional positions:
Sb (0.1531, 0.1434, 0.3062)  3 W 2.72-2.78
Sb (0.1531, 0.3566, 0.8062)  3 W 2.72-2.78
Sb (0.3474, 0.6462, 0.1963)  3 W 2.72-2.78
Sb (0.3474, 0.8538, 0.6963)  3 W 2.72-2.78
Sb (0.6526, 0.1462, 0.3037)  3 W 2.72-2.78
Sb (0.6526, 0.3538, 0.8037)  3 W 2.72-2.78
Sb (0.8469, 0.6434, 0.1938)  3 W 2.72-2.78
Sb (0.8469, 0.8566, 0.6938)  3 W 2.72-2.78
W (0.2497, 0.0007, 0.0002)  6 Sb 2.72-2.78
W (0.2497, 0.4993, 0.5002)  6 Sb 2.72-2.78
W (0.7503, 0.5007, 0.4998)  6 Sb 2.72-2.78
W (0.7503, 0.9993, 0.9998)  6 Sb 2.72-2.78